# Cr3Se2S2

A relaxed Cr3Se2S2 crystal (GGA-PBE, Alexandria via LeMat-Bulk).

a = 3.6043 Å, b = 6.2608 Å, c = 6.7861 Å
α = 116.23°, β = 105.40°, γ = 90.00°
Last column: nearest neighbours and their distance in Å.
Sites, in units of the cell vectors:
1 Cr 0.7356 0.7651 0.4712  3 S 2.38-2.40, 3 Se 2.60-2.65
2 Cr 0.0000 0.0000 0.0000  2 S 2.45, 4 Se 2.60
3 Cr 0.2644 0.2349 0.5288  3 S 2.38-2.40, 3 Se 2.60-2.65
4 Se 0.3676 0.7028 0.7352  5 Cr 2.60-2.65
5 Se 0.6324 0.2972 0.2648  5 Cr 2.60-2.65
6 S 0.8705 0.1842 0.7410  4 Cr 2.38-2.45
7 S 0.1295 0.8158 0.2590  4 Cr 2.38-2.45

Output
SG = C2/m
calculated density = 4785 kg/m3
energy relative to the elements, uncorrected = -584 meV per atom
VASP energy = -6.8836 eV/atom